[1]
A relaxed Nd4InNi2Sn4 crystal. Source: the Open Quantum Materials Database, functional PBE-GGA.

```
11
Lattice="8.272 -2.317 0.000 8.272 2.317 0.000 -2.504 0.000 7.186" Properties=species:S:1:pos:R:3 pbc="T T T"
Nd 0.526 0.000 2.800
Nd 0.208 0.000 6.860
Nd 13.833 0.000 0.326
Nd 13.515 0.000 4.386
In 8.272 0.000 0.000
Ni 3.798 0.000 2.484
Ni 10.243 0.000 4.701
Sn 3.062 0.000 5.101
Sn 6.323 0.000 2.339
Sn 7.718 0.000 4.846
Sn 10.979 0.000 2.084
```

- Space group: C2/m
- M_tot: 0.00 μB/cell
- Crystal system: monoclinic
- Uncorrected energy: -56.130 eV/cell

***

[2]
A relaxed Nd2InNi4Sn crystal. Source: the Open Quantum Materials Database, functional PBE-GGA.

```
8
Lattice="4.431 0.000 0.000 -2.216 3.838 0.000 0.000 0.000 9.060" Properties=species:S:1:pos:R:3 pbc="T T T"
Nd 0.000 2.558 2.258
Nd 2.216 1.279 6.802
In 0.000 0.000 0.000
Ni 0.000 2.558 5.165
Ni 0.000 2.558 8.447
Ni 2.216 1.279 0.613
Ni 2.216 1.279 3.895
Sn 0.000 0.000 4.530
```

- Space group: P-3m1
- M_tot: 0.00 μB/cell
- Crystal system: trigonal
- Uncorrected energy: -41.839 eV/cell

***

[3]
A relaxed TbNdInNi2 crystal. Source: the Open Quantum Materials Database, functional PBE-GGA.

```
5
Lattice="3.741 0.000 0.000 0.000 1.985 7.250 0.000 -1.985 7.250" Properties=species:S:1:pos:R:3 pbc="T T T"
Tb 0.000 0.000 0.000
Nd 0.000 0.000 10.516
In 1.870 0.000 5.301
Ni 1.870 0.000 2.292
Ni 1.870 0.000 8.113
```

- Space group: Amm2
- M_tot: 0.00 μB/cell
- Crystal system: orthorhombic
- Uncorrected energy: -25.717 eV/cell

***

[4]
A relaxed NdInNiTe3 crystal. Source: the Open Quantum Materials Database, functional PBE-GGA.

```
12
Lattice="2.049 -7.561 0.000 2.049 7.561 0.000 0.000 0.000 11.424" Properties=species:S:1:pos:R:3 pbc="T T T"
Nd 0.000 0.000 0.000
Nd 0.000 0.000 5.712
In 2.049 3.802 8.568
In 2.049 -3.802 2.856
Ni 2.049 0.398 2.856
Ni 2.049 -0.398 8.568
Te 2.049 6.354 2.856
Te 2.049 2.166 0.964
Te 2.049 2.166 4.747
Te 2.049 -2.166 6.676
Te 2.049 -2.166 10.459
Te 2.049 -6.354 8.568
```

- Space group: Cmcm
- M_tot: 0.02 μB/cell
- Crystal system: orthorhombic
- Uncorrected energy: -52.521 eV/cell

***

[5]
A relaxed NdTm2In3Ni3 crystal. Source: the Open Quantum Materials Database, functional PBE-GGA.

```
9
Lattice="3.769 0.000 0.000 0.000 6.449 3.743 0.000 -6.449 3.743" Properties=species:S:1:pos:R:3 pbc="T T T"
Nd 0.000 0.000 0.000
Tm 0.000 -2.635 2.878
Tm 0.000 2.635 2.878
In 1.884 0.000 2.537
In 1.884 -1.682 5.340
In 1.884 1.682 5.340
Ni 0.000 0.000 4.390
Ni 1.884 -4.267 4.416
Ni 1.884 4.267 4.416
```

- Space group: Amm2
- M_tot: 0.00 μB/cell
- Crystal system: orthorhombic
- Uncorrected energy: -43.033 eV/cell

***

[6]
A relaxed NdY2In3Ni3 crystal. Source: the Open Quantum Materials Database, functional PBE-GGA.

```
9
Lattice="3.899 0.000 0.000 0.000 6.447 3.752 0.000 -6.447 3.752" Properties=species:S:1:pos:R:3 pbc="T T T"
Nd 0.000 0.000 0.000
Y 0.000 -2.651 2.858
Y 0.000 2.651 2.858
In 1.950 0.000 2.547
In 1.950 -1.643 5.322
In 1.950 1.643 5.322
Ni 0.000 0.000 4.389
Ni 1.950 -4.283 4.400
Ni 1.950 4.283 4.400
```

- Space group: Amm2
- M_tot: 0.02 μB/cell
- Crystal system: orthorhombic
- Uncorrected energy: -47.078 eV/cell

***

[7]
A relaxed NdY2In2Ni4 crystal. Source: the Open Quantum Materials Database, functional PBE-GGA.

```
9
Lattice="4.920 -2.152 0.000 4.920 2.152 0.000 -0.735 0.000 8.475" Properties=species:S:1:pos:R:3 pbc="T T T"
Nd 0.000 0.000 0.000
Y 3.202 0.000 5.216
Y 5.902 0.000 3.259
In 3.006 0.000 1.914
In 6.099 0.000 6.561
Ni 0.296 0.000 5.243
Ni 2.008 0.000 7.783
Ni 7.097 0.000 0.691
Ni 8.808 0.000 3.232
```

- Space group: C2/m
- M_tot: 0.03 μB/cell
- Crystal system: monoclinic
- Uncorrected energy: -49.254 eV/cell

***

[8]
A relaxed NdYInNi2 crystal. Source: the Open Quantum Materials Database, functional PBE-GGA.

```
5
Lattice="3.743 0.000 0.000 0.000 1.981 7.203 0.000 -1.981 7.203" Properties=species:S:1:pos:R:3 pbc="T T T"
Nd 0.000 0.000 0.000
Y 0.000 0.000 3.946
In 1.871 0.000 9.227
Ni 1.871 0.000 6.253
Ni 1.871 0.000 12.025
```

- Space group: Amm2
- M_tot: 0.01 μB/cell
- Crystal system: orthorhombic
- Uncorrected energy: -27.557 eV/cell

***

[9]
A relaxed Nd2In2O5 crystal. Source: the Open Quantum Materials Database, functional PBE-GGA.

```
9
Lattice="4.117 0.000 0.000 0.000 4.117 0.000 0.000 0.000 9.133" Properties=species:S:1:pos:R:3 pbc="T T T"
Nd 0.000 0.000 2.235
Nd 0.000 0.000 6.898
In 2.058 2.058 0.000
In 2.058 2.058 4.567
O 0.000 0.000 4.567
O 0.000 2.058 1.311
O 0.000 2.058 7.822
O 2.058 0.000 1.311
O 2.058 0.000 7.822
```

- Space group: P4/mmm
- M_tot: 0.00 μB/cell
- Crystal system: tetragonal
- Uncorrected energy: -58.262 eV/cell

***

[10]
A relaxed NdInO3 crystal. Source: the Open Quantum Materials Database, functional PBE-GGA.

```
10
Lattice="-2.867 4.166 2.878 2.867 -4.166 2.878 2.867 4.166 -2.878" Properties=species:S:1:pos:R:3 pbc="T T T"
Nd 0.000 2.083 0.160
Nd 2.867 2.083 2.718
In 2.867 0.000 0.000
In 0.000 0.000 2.878
O 2.867 2.083 -0.733
O 1.433 4.803 -1.439
O 1.433 0.636 1.439
O -1.433 3.530 1.439
O 1.433 3.530 1.439
O 0.000 2.083 3.612
```

- Space group: Imma
- M_tot: 0.00 μB/cell
- Crystal system: orthorhombic
- Uncorrected energy: -68.760 eV/cell

***

[11]
A relaxed NdInO3 crystal. Source: the Open Quantum Materials Database, functional PBE-GGA.

```
10
Lattice="-2.872 2.872 4.109 2.872 -2.872 4.109 2.872 2.872 -4.109" Properties=species:S:1:pos:R:3 pbc="T T T"
Nd 2.872 0.000 2.055
Nd 0.000 2.872 2.055
In 0.000 0.000 0.000
In 0.000 0.000 4.109
O 3.819 0.946 0.000
O 0.000 0.000 2.055
O 0.946 1.926 0.000
O 1.926 0.946 4.109
O 0.000 0.000 6.164
O -0.946 1.926 4.109
```

- Space group: I4/mcm
- M_tot: 0.00 μB/cell
- Crystal system: tetragonal
- Uncorrected energy: -67.643 eV/cell

***

[12]
A relaxed Nd2InO4 crystal. Source: the Open Quantum Materials Database, functional PBE-GGA.

```
14
Lattice="0.000 4.974 4.974 4.974 0.000 4.974 4.974 4.974 0.000" Properties=species:S:1:pos:R:3 pbc="T T T"
Nd 0.000 0.000 0.000
Nd 2.487 2.487 0.000
Nd 2.487 0.000 2.487
Nd 0.000 2.487 2.487
In 3.730 3.730 3.730
In 6.217 6.217 6.217
O 7.567 4.868 4.868
O 2.381 2.381 2.381
O 5.080 5.080 2.381
O 5.080 2.381 5.080
O 4.868 7.567 4.868
O 4.868 4.868 7.567
O 7.567 7.567 7.567
O 2.381 5.080 5.080
```

- Space group: Fd-3m
- M_tot: 0.00 μB/cell
- Crystal system: cubic
- Uncorrected energy: -99.416 eV/cell

***

Q: What is the M_tot in the third record?
A: 0.00 μB/cell